First-principles (GGA+U) data for BaCoAsO after structural relaxation, as listed in the Open Quantum Materials Database.

POSCAR file:
```
BaCoAsO
1.0
3.4209 0.0000 0.0000
0.0000 6.3974 0.0000
0.0000 0.0000 7.8598
Ba Co As O
2 2 2 2
direct
0.0000 0.1810 0.0000 Ba
0.0000 0.8190 0.5000 Ba
0.5000 0.3027 0.3710 Co
0.5000 0.6973 0.8710 Co
0.5000 0.3931 0.6732 As
0.5000 0.6069 0.1732 As
0.0000 0.1551 0.3300 O
0.0000 0.8449 0.8300 O
```

Calculated values
Polymorph energy (0 for the lowest one) ... 106 meV/atom
Energy ... -40.3 eV per cell
Total magnetization ... 2.82 μB/f.u.